1.
A plane-wave DFT calculation with PBE was carried out for a geometry-optimized Rb2ZrCrI6 structure.

Lattice parameters (Å, degrees): 11.822 11.822 11.822 90.00 90.00 90.00
Space group Fm-3m (No. 225)
Symmetry-distinct sites (fractional):
Rb1 0.250 0.250 0.250 [8 per cell]
Zr1 0.000 0.000 0.000 [4 per cell]
Cr1 0.000 0.000 0.500 [4 per cell]
I1 0.000 0.000 0.249 [24 per cell]

Properties
As for the total energy: -3.7669 eV/atom.

2.
A plane-wave DFT calculation with PBE was carried out for a geometry-optimized CrReI2 structure.

Lattice parameters (Å, degrees): 6.655 6.655 6.655 90.00 90.00 90.00
Space group Fm-3m (No. 225)
Symmetry-distinct sites (fractional):
Cr1 0.000 0.000 0.000 [4 per cell]
Re1 0.000 0.000 0.500 [4 per cell]
I1 0.250 0.250 0.250 [8 per cell]

Properties
As for the total energy: -4.8082 eV/atom. The energy above the most stable polymorph in this dataset comes out at 0.000 eV/atom.

3.
A plane-wave DFT calculation with PBE was carried out for a geometry-optimized Cr2Re2I structure.

Lattice parameters (Å, degrees): 3.902 3.902 12.802 90.00 90.00 90.00
Space group I4/mmm (No. 139)
Symmetry-distinct sites (fractional):
Cr1 0.000 0.000 0.138 [4 per cell]
Re1 0.000 0.500 0.250 [4 per cell]
I1 0.000 0.000 0.500 [2 per cell]

Properties
As for the total energy: -8.3967 eV/atom. The energy above the most stable polymorph in this dataset comes out at 0.000 eV/atom.

4.
A plane-wave DFT calculation with PBE was carried out for a geometry-optimized Cr3ReI structure.

Lattice parameters (Å, degrees): 4.843 4.843 4.843 90.00 90.00 90.00
Space group Pm-3m (No. 221)
Symmetry-distinct sites (fractional):
Cr1 0.000 0.000 0.500 [3 per cell]
Re1 0.000 0.000 0.000 [1 per cell]
I1 0.500 0.500 0.500 [1 per cell]

Properties
As for the total energy: -7.2515 eV/atom. The energy above the most stable polymorph in this dataset comes out at 0.000 eV/atom.

5.
A plane-wave DFT calculation with PBE was carried out for a geometry-optimized Cr2Re2I structure.

Lattice parameters (Å, degrees): 7.501 7.501 2.865 90.00 90.00 90.00
Space group P4/mbm (No. 127)
Symmetry-distinct sites (fractional):
Cr1 0.142 0.358 0.000 [4 per cell]
Re1 0.137 0.637 0.500 [4 per cell]
I1 0.000 0.000 0.000 [2 per cell]

Properties
As for the total energy: -8.3029 eV/atom. The energy above the most stable polymorph in this dataset comes out at 0.094 eV/atom.

6.
A plane-wave DFT calculation with PBE was carried out for a geometry-optimized Cr3ReI structure.

Lattice parameters (Å, degrees): 4.511 4.511 4.511 90.00 90.00 90.00
Space group Pm-3m (No. 221)
Symmetry-distinct sites (fractional):
Cr1 0.000 0.000 0.500 [3 per cell]
Re1 0.500 0.500 0.500 [1 per cell]
I1 0.000 0.000 0.000 [1 per cell]

Properties
As for the total energy: -6.0678 eV/atom. The energy above the most stable polymorph in this dataset comes out at 1.184 eV/atom.

7.
A plane-wave DFT calculation with PBE was carried out for a geometry-optimized CrRe3I structure.

Lattice parameters (Å, degrees): 4.548 4.548 4.548 90.00 90.00 90.00
Space group Pm-3m (No. 221)
Symmetry-distinct sites (fractional):
Cr1 0.000 0.000 0.000 [1 per cell]
Re1 0.000 0.000 0.500 [3 per cell]
I1 0.500 0.500 0.500 [1 per cell]

Properties
As for the total energy: -7.7069 eV/atom. The energy above the most stable polymorph in this dataset comes out at 0.000 eV/atom.

8.
A plane-wave DFT calculation with PBE was carried out for a geometry-optimized CrReI2 structure.

Lattice parameters (Å, degrees): 5.903 5.903 11.813 90.00 90.00 90.00
Space group I-42d (No. 122)
Symmetry-distinct sites (fractional):
Cr1 0.000 0.000 0.000 [4 per cell]
Re1 0.000 0.000 0.500 [4 per cell]
I1 0.240 0.250 0.125 [8 per cell]

Properties
As for the total energy: -4.7906 eV/atom. The energy above the most stable polymorph in this dataset comes out at 0.018 eV/atom.

Number 1: formation energy (no corrections) -0.83 eV per atom, D(E_F) 1.642 states/eV/atom. Number 2: formation energy (no corrections) 1.48 eV per atom, D(E_F) 1.154 states/eV/atom. Number 3: formation energy (no corrections) 0.74 eV per atom, D(E_F) 0.856 states/eV/atom. Number 4: formation energy (no corrections) 1.32 eV per atom, D(E_F) 0.989 states/eV/atom. Number 5: formation energy (no corrections) 0.84 eV per atom, D(E_F) 0.821 states/eV/atom. Number 6: formation energy (no corrections) 2.51 eV per atom, D(E_F) 2.136 states/eV/atom. Number 7: formation energy (no corrections) 2.00 eV per atom, D(E_F) 1.291 states/eV/atom. Number 8: formation energy (no corrections) 1.50 eV per atom, D(E_F) 1.440 states/eV/atom.